Record 1
A geometry-optimized NaUTe4 structure. Source: the Alexandria database, functional PBE.

Unit cell a=6.8305 b=6.8305 c=8.0884 alpha=90.00 beta=90.00 gamma=90.00
Fractional coordinates of all 12 atoms:
1 Te 0.1518 0.6518 0.2257
2 Te 0.3482 0.1518 0.2257
3 Te 0.3482 0.8482 0.7743
4 Te 0.8482 0.6518 0.7743
5 Te 0.8482 0.3482 0.2257
6 Te 0.1518 0.3482 0.7743
7 Te 0.6518 0.8482 0.2257
8 Te 0.6518 0.1518 0.7743
9 U 0.5000 0.5000 0.0000
10 U 0.0000 0.0000 0.0000
11 Na 0.5000 0.5000 0.5000
12 Na 0.0000 0.0000 0.5000

Properties
Symmetry: P4/nbm (125)
Energy relative to the elements, uncorrected, eV per atom: -0.5496
Relative energy among the computed polymorphs, meV per atom: 0


Record 2
A geometry-optimized RbAg5Cl7 structure. Source: the Alexandria database, functional PBE.

Unit cell a=6.2672 b=8.5454 c=8.5454 alpha=67.66 beta=68.49 gamma=68.49
Fractional coordinates of all 13 atoms:
1 Cl 0.6001 0.0758 0.7240
2 Cl 0.8974 0.4174 0.7877
3 Cl 0.8974 0.7877 0.4174
4 Cl 0.3185 0.1815 0.1815
5 Cl 0.6001 0.7240 0.0758
6 Cl 0.7081 0.2919 0.2919
7 Cl 0.2469 0.7531 0.7531
8 Ag 0.4784 0.0347 0.4711
9 Ag 0.0158 0.0347 0.4711
10 Ag 0.0158 0.4711 0.0347
11 Ag 0.7515 0.7485 0.7485
12 Ag 0.4784 0.4711 0.0347
13 Rb 0.9918 0.0082 0.0082

Properties
Symmetry: Imm2 (44)
Energy relative to the elements, uncorrected, eV per atom: -0.5531
Relative energy among the computed polymorphs, meV per atom: 117